Entry 1:
! RbCu4Se4 GGA-PBE optimized geometry; values from VASP
&SYSTEM
  ibrav = 0, nat = 18, ntyp = 3
/
ATOMIC_SPECIES
Rb 85.47 Rb.upf
Cu 63.55 Cu.upf
Se 78.96 Se.upf
CELL_PARAMETERS angstrom
-1.634 1.856 3.160
2.033 -8.006 5.755
8.967 3.944 2.320
ATOMIC_POSITIONS crystal
Rb 0.000 0.000 0.000
Rb 0.500 0.500 0.500
Cu 0.500 0.296 0.852
Cu 0.000 0.648 0.796
Cu 0.500 0.704 0.148
Cu 0.000 0.204 0.648
Cu 0.500 0.852 0.704
Cu 0.000 0.796 0.352
Cu 0.000 0.352 0.204
Cu 0.500 0.148 0.296
Se 0.500 0.908 0.283
Se 0.500 0.092 0.717
Se 0.000 0.783 0.592
Se 0.000 0.408 0.783
Se 0.000 0.592 0.217
Se 0.500 0.283 0.092
Se 0.500 0.717 0.908
Se 0.000 0.217 0.408
! raw formation energy = -324 meV per atom
! symmetry = I4/m, No. 87



Entry 2:
! Na2AgPt GGA-PBE optimized geometry; values from VASP
&SYSTEM
  ibrav = 0, nat = 4, ntyp = 3
/
ATOMIC_SPECIES
Na 22.99 Na.upf
Ag 107.87 Ag.upf
Pt 195.08 Pt.upf
CELL_PARAMETERS angstrom
2.896 0.000 0.000
0.000 2.896 0.000
0.000 0.000 9.233
ATOMIC_POSITIONS crystal
Na 0.000 0.000 0.769
Na 0.000 0.000 0.231
Ag 0.500 0.500 0.500
Pt 0.500 0.500 0.000
! energy relative to the lowest polymorph listed for this composition = 56 meV/atom
! symmetry = P4/mmm, No. 123



| no. | total DFT energy (no corrections) (eV/cell) | Fermi-level density of states (states/eV per cell) |
| --- | --- | --- |
| 1 | -68.4 | 14.87 |
| 2 | -11.7 | 1.62 |